The following is a DFT calculation (PBE) of an optimized crystal structure of Sm6HoSc8.

```
Sm6HoSc8
1.0
4.6294 2.6728 5.8186
-4.6294 2.6728 5.8186
0.0000 -5.3455 5.8186
Sm Ho Sc
6 1 8
direct
0.1691 0.6212 0.4283
0.3788 0.5717 0.8309
0.4283 0.1691 0.6212
0.5717 0.8309 0.3788
0.6212 0.4283 0.1691
0.8309 0.3788 0.5717
0.0000 0.0000 0.0000
0.0479 0.3788 0.8726
0.1274 0.9521 0.6212
0.2278 0.2278 0.2278
0.3788 0.8726 0.0479
0.6212 0.1274 0.9521
0.7722 0.7722 0.7722
0.8726 0.0479 0.3788
0.9521 0.6212 0.1274
```

Its space-group type is R-3. The total energy is -0.3956 Ry per atom.

=====

The following is a DFT calculation (PBE) of an optimized crystal structure of Sm2Ho2Sc.

```
Sm2Ho2Sc
1.0
-1.7563 2.8086 15.8039
1.7563 -2.8086 15.8039
1.7563 2.8086 -15.8039
Sm Ho Sc
4 4 2
direct
0.0438 0.2938 0.7500
0.4372 0.1872 0.2500
0.5628 0.8128 0.7500
0.9562 0.7062 0.2500
0.1338 0.8838 0.2500
0.2302 0.9802 0.2500
0.7698 0.0198 0.7500
0.8662 0.1162 0.7500
0.3243 0.5743 0.7500
0.6757 0.4257 0.2500
```

Its space-group type is Imma. The total energy is -0.3522 Ry per atom.

=====

The following is a DFT calculation (PBE) of an optimized crystal structure of Sm5HoSc3.

```
Sm5HoSc3
1.0
5.6415 -5.6779 0.0000
5.6415 5.6779 0.0000
-3.0020 0.0000 9.7492
Sm Ho Sc
10 2 6
direct
0.2094 0.7243 0.6537
0.2448 0.7552 0.0000
0.2513 0.2513 0.0855
0.2606 0.2606 0.4210
0.2757 0.7906 0.3463
0.7243 0.2094 0.6537
0.7394 0.7394 0.5790
0.7487 0.7487 0.9145
0.7552 0.2448 0.0000
0.7906 0.2757 0.3463
0.2472 0.2472 0.7478
0.7528 0.7528 0.2522
0.0000 0.0000 0.5000
0.0019 0.0019 0.1664
0.4993 0.4993 0.3272
0.5000 0.5000 0.0000
0.5007 0.5007 0.6728
0.9981 0.9981 0.8336
```

Its space-group type is C2/m. The total energy is -0.3490 Ry per atom.

=====

The following is a DFT calculation (PBE) of an optimized crystal structure of Sm3Ho7Sc.

```
Sm3Ho7Sc
1.0
6.9894 0.0000 0.0000
-3.4947 6.0530 0.0000
0.0000 0.0000 8.5549
Sm Ho Sc
3 7 1
direct
0.0016 0.5008 0.0000
0.4992 0.5008 0.0000
0.4992 0.9984 0.0000
0.1683 0.3366 0.6581
0.1683 0.8317 0.6581
0.3353 0.1677 0.3339
0.6634 0.8317 0.6581
0.6667 0.3333 0.6600
0.8323 0.1677 0.3339
0.8323 0.6647 0.3339
0.3333 0.6667 0.3369
```

Its space-group type is P3m1. The total energy is -0.3375 Ry per atom.

=====

The following is a DFT calculation (PBE) of an optimized crystal structure of Sm3Ho3Sc.

```
Sm3Ho3Sc
1.0
4.2865 2.4748 7.1547
-4.2865 2.4748 7.1547
0.0000 -4.9496 7.1547
Sm Ho Sc
6 6 2
direct
0.0696 0.8097 0.2930
0.1903 0.7070 0.9304
0.2930 0.0696 0.8097
0.7070 0.9304 0.1903
0.8097 0.2930 0.0696
0.9304 0.1903 0.7070
0.0590 0.5665 0.7280
0.2720 0.9410 0.4335
0.4335 0.2720 0.9410
0.5665 0.7280 0.0590
0.7280 0.0590 0.5665
0.9410 0.4335 0.2720
0.3452 0.3452 0.3452
0.6548 0.6548 0.6548
```

Its space-group type is R-3. The total energy is -0.3392 Ry per atom.

=====

The following is a DFT calculation (PBE) of an optimized crystal structure of Sm2HoSc5.

```
Sm2HoSc5
1.0
6.7333 0.0000 0.0000
0.0000 13.4701 0.0000
0.0000 0.0000 4.8303
Sm Ho Sc
4 2 10
direct
0.2398 0.1273 0.0000
0.2602 0.6273 0.0000
0.7398 0.3727 0.0000
0.7602 0.8727 0.0000
0.0000 0.5000 0.5000
0.5000 0.0000 0.5000
0.0000 0.0000 0.5000
0.0109 0.7525 0.5000
0.2435 0.3741 0.0000
0.2565 0.8741 0.0000
0.4891 0.2525 0.5000
0.5000 0.5000 0.5000
0.5109 0.7475 0.5000
0.7435 0.1259 0.0000
0.7565 0.6259 0.0000
0.9891 0.2475 0.5000
```

Its space-group type is Pbam. The total energy is -0.4152 Ry per atom.

=====

The following is a DFT calculation (PBE) of an optimized crystal structure of Sm5Ho12Sc2.

```
Sm5Ho12Sc2
1.0
9.2234 -3.6045 0.0000
9.2234 3.6045 0.0000
-3.8042 0.0000 9.0750
Sm Ho Sc
5 12 2
direct
0.0000 0.0000 0.0000
0.1875 0.1875 0.6919
0.3187 0.3187 0.2957
0.6813 0.6813 0.7043
0.8125 0.8125 0.3081
0.0134 0.0134 0.7127
0.0858 0.5917 0.9953
0.0907 0.5935 0.6378
0.4065 0.9093 0.3622
0.4083 0.9142 0.0047
0.4978 0.4978 0.1855
0.5022 0.5022 0.8145
0.5917 0.0858 0.9953
0.5935 0.0907 0.6378
0.9093 0.4065 0.3622
0.9142 0.4083 0.0047
0.9866 0.9866 0.2873
0.3042 0.6958 0.5000
0.6958 0.3042 0.5000
```

Its space-group type is C2/m. The total energy is -0.3398 Ry per atom.

=====

The following is a DFT calculation (PBE) of an optimized crystal structure of Sm2Ho3Sc.

```
Sm2Ho3Sc
1.0
5.7760 0.0000 0.0000
0.0000 11.0978 0.0000
0.0000 0.0000 5.7842
Sm Ho Sc
4 6 2
direct
0.0000 0.1603 0.0000
0.0000 0.8397 0.0000
0.5000 0.3397 0.0000
0.5000 0.6603 0.0000
0.0000 0.0000 0.5000
0.0000 0.3408 0.5000
0.0000 0.6592 0.5000
0.5000 0.1592 0.5000
0.5000 0.5000 0.5000
0.5000 0.8408 0.5000
0.0000 0.5000 0.0000
0.5000 0.0000 0.0000
```

Its space-group type is Cmmm. The total energy is -0.3522 Ry per atom.

=====

The following is a DFT calculation (PBE) of an optimized crystal structure of Sm2HoSc.

```
Sm2HoSc
1.0
3.5401 0.0000 0.0000
-1.7701 3.0659 0.0000
0.0000 0.0000 33.9015
Sm Ho Sc
6 3 3
direct
0.0000 0.0000 0.0000
0.0000 0.0000 0.1717
0.3333 0.6667 0.6667
0.3333 0.6667 0.8384
0.6667 0.3333 0.3333
0.6667 0.3333 0.5050
0.0000 0.0000 0.4189
0.3333 0.6667 0.0855
0.6667 0.3333 0.7522
0.0000 0.0000 0.5860
0.3333 0.6667 0.2527
0.6667 0.3333 0.9194
```

Its space-group type is R3m. The total energy is -0.3703 Ry per atom.

=====

The following is a DFT calculation (PBE) of an optimized crystal structure of SmHo3Sc6.

```
SmHo3Sc6
1.0
5.2382 -8.9521 0.0000
5.2382 8.9521 0.0000
0.0000 0.0000 5.8624
Sm Ho Sc
2 6 12
direct
0.2127 0.7873 0.5000
0.7873 0.2127 0.0000
0.0731 0.2817 0.7040
0.2817 0.0731 0.2040
0.3971 0.6029 0.6084
0.6029 0.3971 0.1084
0.7183 0.9269 0.7040
0.9269 0.7183 0.2040
0.0222 0.4535 0.3106
0.0491 0.9509 0.7427
0.2776 0.3847 0.1572
0.2928 0.7072 0.0390
0.3847 0.2776 0.6572
0.4535 0.0222 0.8106
0.5465 0.9778 0.3106
0.6153 0.7224 0.1572
0.7072 0.2928 0.5390
0.7224 0.6153 0.6572
0.9509 0.0491 0.2427
0.9778 0.5465 0.8106
```

Its space-group type is Cmc2_1. The total energy is -0.4033 Ry per atom.

=====

The following is a DFT calculation (PBE) of an optimized crystal structure of Sm6HoSc.

```
Sm6HoSc
1.0
8.9498 0.0000 0.0000
0.0000 7.1404 0.0000
-2.4867 0.0000 8.8987
Sm Ho Sc
12 2 2
direct
0.1333 0.0000 0.4260
0.2017 0.2427 0.7932
0.2017 0.7573 0.7932
0.2983 0.2573 0.2068
0.2983 0.7427 0.2068
0.3667 0.5000 0.5740
0.6333 0.5000 0.4260
0.7017 0.2573 0.7932
0.7017 0.7427 0.7932
0.7983 0.2427 0.2068
0.7983 0.7573 0.2068
0.8667 0.0000 0.5740
0.0000 0.0000 0.0000
0.5000 0.5000 0.0000
0.0000 0.5000 0.5000
0.5000 0.0000 0.5000
```

Its space-group type is C2/m. The total energy is -0.3330 Ry per atom.

=====

The following is a DFT calculation (PBE) of an optimized crystal structure of Sm4HoSc2.

```
Sm4HoSc2
1.0
7.9193 0.0000 0.0000
0.0000 7.9193 0.0000
0.0000 0.0000 3.5162
Sm Ho Sc
4 1 2
direct
0.2161 0.2161 0.0000
0.2161 0.7839 0.0000
0.7839 0.2161 0.0000
0.7839 0.7839 0.0000
0.5000 0.5000 0.5000
0.0000 0.5000 0.5000
0.5000 0.0000 0.5000
```

Its space-group type is P4/mmm. The total energy is -0.3670 Ry per atom.

=====

The following is a DFT calculation (PBE) of an optimized crystal structure of Sm3Ho12Sc.

```
Sm3Ho12Sc
1.0
4.9932 0.0000 0.0000
0.0000 4.9932 0.0000
0.0000 0.0000 19.9339
Sm Ho Sc
3 12 1
direct
0.0000 0.0000 0.0000
0.0000 0.0000 0.2523
0.0000 0.0000 0.7477
0.0000 0.5000 0.1267
0.0000 0.5000 0.3797
0.0000 0.5000 0.6203
0.0000 0.5000 0.8733
0.5000 0.0000 0.1267
0.5000 0.0000 0.3797
0.5000 0.0000 0.6203
0.5000 0.0000 0.8733
0.5000 0.5000 0.0000
0.5000 0.5000 0.2534
0.5000 0.5000 0.5000
0.5000 0.5000 0.7466
0.0000 0.0000 0.5000
```

Its space-group type is P4/mmm. The total energy is -0.3445 Ry per atom.

=====

The following is a DFT calculation (PBE) of an optimized crystal structure of Sm4Ho7Sc.

```
Sm4Ho7Sc
1.0
6.4406 0.0000 0.0000
0.9347 6.6901 0.0000
2.0303 0.4600 8.8171
Sm Ho Sc
4 7 1
direct
0.1518 0.3197 0.2794
0.3346 0.8809 0.6954
0.6654 0.1191 0.3046
0.8482 0.6803 0.7206
0.0003 0.2557 0.9522
0.9997 0.7443 0.0478
0.1745 0.8105 0.3646
0.3146 0.3911 0.6207
0.5000 0.0000 0.0000
0.6854 0.6089 0.3793
0.8255 0.1895 0.6354
0.5000 0.5000 0.0000
```

Its space-group type is P-1. The total energy is -0.3432 Ry per atom.

=====

The following is a DFT calculation (PBE) of an optimized crystal structure of Sm3Ho2Sc3.

```
Sm3Ho2Sc3
1.0
4.8107 0.0000 0.0000
0.0000 4.9504 0.0000
0.0000 0.0000 19.7610
Sm Ho Sc
6 4 6
direct
0.0000 0.0000 0.0000
0.0000 0.5000 0.1221
0.0000 0.5000 0.8779
0.5000 0.0000 0.3779
0.5000 0.0000 0.6221
0.5000 0.5000 0.5000
0.0000 0.0000 0.2482
0.0000 0.0000 0.7518
0.5000 0.5000 0.2518
0.5000 0.5000 0.7482
0.0000 0.0000 0.5000
0.0000 0.5000 0.3753
0.0000 0.5000 0.6247
0.5000 0.0000 0.1247
0.5000 0.0000 0.8753
0.5000 0.5000 0.0000
```

Its space-group type is Immm. The total energy is -0.3849 Ry per atom.

=====

The following is a DFT calculation (PBE) of an optimized crystal structure of SmHo5Sc2.

```
SmHo5Sc2
1.0
-4.3768 4.3768 6.2422
4.3768 -4.3768 6.2422
4.3768 4.3768 -6.2422
Sm Ho Sc
2 10 4
direct
0.2500 0.2500 0.0000
0.7500 0.7500 0.0000
0.0000 0.0000 0.0000
0.0065 0.5065 0.1982
0.1917 0.9935 0.5000
0.3083 0.8083 0.8018
0.4935 0.6917 0.5000
0.5000 0.5000 0.0000
0.5065 0.3083 0.5000
0.6917 0.1917 0.1982
0.8083 0.0065 0.5000
0.9935 0.4935 0.8018
0.1425 0.3575 0.5000
0.3575 0.8575 0.2151
0.6425 0.1425 0.7849
0.8575 0.6425 0.5000
```

Its space-group type is I4/mcm. The total energy is -0.3617 Ry per atom.

=====

The following is a DFT calculation (PBE) of an optimized crystal structure of Sm5HoSc2.

```
Sm5HoSc2
1.0
-4.4968 4.4968 6.2093
4.4968 -4.4968 6.2093
4.4968 4.4968 -6.2093
Sm Ho Sc
10 2 4
direct
0.0000 0.0000 0.0000
0.0099 0.5099 0.2013
0.1914 0.9901 0.5000
0.3086 0.8086 0.7987
0.4901 0.6914 0.5000
0.5000 0.5000 0.0000
0.5099 0.3086 0.5000
0.6914 0.1914 0.2013
0.8086 0.0099 0.5000
0.9901 0.4901 0.7987
0.2500 0.2500 0.0000
0.7500 0.7500 0.0000
0.1471 0.3529 0.5000
0.3529 0.8529 0.2057
0.6471 0.1471 0.7943
0.8529 0.6471 0.5000
```

Its space-group type is I4/mcm. The total energy is -0.3656 Ry per atom.

=====

The following is a DFT calculation (PBE) of an optimized crystal structure of Sm3Ho4Sc2.

```
Sm3Ho4Sc2
1.0
8.1526 -5.7148 0.0000
8.1526 5.7148 0.0000
-0.7807 0.0000 5.8680
Sm Ho Sc
6 8 4
direct
0.0983 0.9017 0.7500
0.2149 0.4459 0.9266
0.4459 0.2149 0.4266
0.5541 0.7851 0.5734
0.7851 0.5541 0.0734
0.9017 0.0983 0.2500
0.0890 0.3320 0.3692
0.3126 0.5842 0.4804
0.3320 0.0890 0.8692
0.4158 0.6874 0.0196
0.5842 0.3126 0.9804
0.6680 0.9110 0.1308
0.6874 0.4158 0.5196
0.9110 0.6680 0.6308
0.0278 0.7528 0.1798
0.2472 0.9722 0.3202
0.7528 0.0278 0.6798
0.9722 0.2472 0.8202
```

Its space-group type is C2/c. The total energy is -0.3604 Ry per atom.